Entry 1:
# PmYIn, optimized geometry, DFT PBE
# crystal system: trigonal
# total moment: 0.00 μB/f.u.
# V: 29.86 Å³ per atom
# relative energy among the computed polymorphs: 122 meV per atom
# DOS at the Fermi energy: 0.75 states/eV per atom
# uncorrected energy: -4.90 eV per atom
# calculated density: 6.463 g cm⁻³
data_PmYIn
_chemical_formula_sum 'Pm1 Y1 In1'
_cell_length_a 5.2803
_cell_length_b 5.2803
_cell_length_c 3.7103
_cell_angle_alpha 90.00
_cell_angle_beta 90.00
_cell_angle_gamma 120.00
_space_group_name_H-M_alt 'P 3 m 1'
_space_group_IT_number 156
loop_
_space_group_symop_operation_xyz
'x,y,z'
'-y,x-y,z'
'-x+y,-x,z'
'-y,-x,z'
'-x+y,y,z'
'x,x-y,z'
loop_
_atom_site_label
_atom_site_fract_x
_atom_site_fract_y
_atom_site_fract_z
Pm1 0.0000 0.0000 0.0000
Y1 0.6667 0.3333 0.4431
In1 0.3333 0.6667 0.6687


Entry 2:
# BeAgSe2, optimized geometry, DFT PBE
# crystal system: orthorhombic
# total moment: 0.00 μB/f.u.
# V: 23.47 Å³ per atom
# ΔE_f (raw): 0.02 eV per atom
# DOS at the Fermi energy: 0.87 states/eV per atom
# uncorrected energy: -3.36 eV per atom
# calculated density: 4.860 g cm⁻³
data_BeAgSe2
_chemical_formula_sum 'Be2 Ag2 Se4'
_cell_length_a 3.2965
_cell_length_b 7.3810
_cell_length_c 7.7173
_cell_angle_alpha 90.00
_cell_angle_beta 90.00
_cell_angle_gamma 90.00
_space_group_name_H-M_alt 'I m m m'
_space_group_IT_number 71
_space_group_name_Hall '-I 2 2'
loop_
_atom_site_label
_atom_site_fract_x
_atom_site_fract_y
_atom_site_fract_z
Be1 0.0000 0.0000 0.0000
Ag1 0.0000 0.5000 0.0000
Se1 0.0000 0.2942 0.5000


Entry 3:
# MgTc2W, optimized geometry, DFT PBE
# crystal system: cubic
# total moment: 0.00 μB/f.u.
# V: 15.40 Å³ per atom
# DOS at the Fermi energy: 1.33 states/eV per atom
# uncorrected energy: -8.44 eV per atom
# calculated density: 10.895 g cm⁻³
data_MgTc2W
_chemical_formula_sum 'Mg4 Tc8 W4'
_cell_length_a 6.2692
_cell_length_b 6.2692
_cell_length_c 6.2692
_cell_angle_alpha 90.00
_cell_angle_beta 90.00
_cell_angle_gamma 90.00
_space_group_name_H-M_alt 'F -4 3 m'
_space_group_IT_number 216
_space_group_name_Hall 'F -4 2 3'
loop_
_atom_site_label
_atom_site_fract_x
_atom_site_fract_y
_atom_site_fract_z
Mg1 0.0000 0.0000 0.0000
Tc1 0.0000 0.0000 0.5000
Tc2 0.2500 0.2500 0.7500
W1 0.2500 0.2500 0.2500


Entry 4:
# LaTeP, optimized geometry, DFT PBE
# crystal system: cubic
# total moment: 0.00 μB/f.u.
# V: 28.47 Å³ per atom
# ΔE_f (raw): -0.70 eV per atom
# DOS at the Fermi energy: 0.57 states/eV per atom
# uncorrected energy: -5.19 eV per atom
# calculated density: 5.784 g cm⁻³
data_LaTeP
_chemical_formula_sum 'La4 Te4 P4'
_cell_length_a 6.9907
_cell_length_b 6.9907
_cell_length_c 6.9907
_cell_angle_alpha 90.00
_cell_angle_beta 90.00
_cell_angle_gamma 90.00
_space_group_name_H-M_alt 'F -4 3 m'
_space_group_IT_number 216
_space_group_name_Hall 'F -4 2 3'
loop_
_atom_site_label
_atom_site_fract_x
_atom_site_fract_y
_atom_site_fract_z
La1 0.0000 0.0000 0.0000
Te1 0.0000 0.0000 0.5000
P1 0.2500 0.2500 0.2500


Entry 5:
# Sm4Cd2In, optimized geometry, DFT PBE
# crystal system: trigonal
# total moment: 0.72 μB/f.u.
# V: 29.99 Å³ per atom
# relative energy among the computed polymorphs: 0 meV per atom
# DOS at the Fermi energy: 1.32 states/eV per atom
# uncorrected energy: -3.55 eV per atom
# calculated density: 7.445 g cm⁻³
data_Sm4Cd2In
_chemical_formula_sum 'Sm12 Cd6 In3'
_cell_length_a 5.3339
_cell_length_b 5.3339
_cell_length_c 25.5579
_cell_angle_alpha 90.00
_cell_angle_beta 90.00
_cell_angle_gamma 120.00
_space_group_name_H-M_alt 'R -3 m'
_space_group_IT_number 166
_space_group_name_Hall '-R 3 2"'
loop_
_atom_site_label
_atom_site_fract_x
_atom_site_fract_y
_atom_site_fract_z
Sm1 0.0000 0.0000 0.1160
Sm2 0.0000 0.0000 0.3695
Cd1 0.0000 0.0000 0.2447
In1 0.0000 0.0000 0.5000


Entry 6:
# PuAl3Ga3, optimized geometry, DFT PBE
# crystal system: cubic
# total moment: 5.65 μB/f.u.
# V: 24.51 Å³ per atom
# relative energy among the computed polymorphs: 401 meV per atom
# DOS at the Fermi energy: 2.07 states/eV per atom
# uncorrected energy: -4.65 eV per atom
# calculated density: 5.169 g cm⁻³
data_PuAl3Ga3
_chemical_formula_sum 'Pu2 Al6 Ga6'
_cell_length_a 7.0012
_cell_length_b 7.0012
_cell_length_c 7.0012
_cell_angle_alpha 90.00
_cell_angle_beta 90.00
_cell_angle_gamma 90.00
_space_group_name_H-M_alt 'P m -3 n'
_space_group_IT_number 223
_space_group_name_Hall '-P 4n 2 3'
loop_
_atom_site_label
_atom_site_fract_x
_atom_site_fract_y
_atom_site_fract_z
Pu1 0.0000 0.0000 0.0000
Al1 0.0000 0.2500 0.5000
Ga1 0.0000 0.5000 0.2500


Entry 7:
# As2PS4, optimized geometry, DFT PBE
# crystal system: tetragonal
# total moment: 0.00 μB/f.u.
# V: 20.62 Å³ per atom
# ΔE_f (raw): 0.07 eV per atom
# DOS at the Fermi energy: 0.36 states/eV per atom
# uncorrected energy: -4.39 eV per atom
# calculated density: 3.556 g cm⁻³
data_As2PS4
_chemical_formula_sum 'As4 P2 S8'
_cell_length_a 7.1523
_cell_length_b 7.1523
_cell_length_c 5.6425
_cell_angle_alpha 90.00
_cell_angle_beta 90.00
_cell_angle_gamma 90.00
_space_group_name_H-M_alt 'I -4 2 m'
_space_group_IT_number 121
_space_group_name_Hall 'I -4 2'
loop_
_atom_site_label
_atom_site_fract_x
_atom_site_fract_y
_atom_site_fract_z
As1 0.0000 0.5000 0.2500
P1 0.0000 0.0000 0.0000
S1 0.1664 0.1664 0.2188


Entry 8:
# KZr2Hg, optimized geometry, DFT PBE
# crystal system: monoclinic
# total moment: 0.00 μB/f.u.
# V: 26.49 Å³ per atom
# DOS at the Fermi energy: 0.91 states/eV per atom
# uncorrected energy: -4.17 eV per atom
# calculated density: 6.615 g cm⁻³
data_KZr2Hg
_chemical_formula_sum 'K1 Zr2 Hg1'
_cell_length_a 3.1422
_cell_length_b 5.6774
_cell_length_c 5.9527
_cell_angle_alpha 90.00
_cell_angle_beta 93.75
_cell_angle_gamma 90.00
_space_group_name_H-M_alt 'P 1 2/m 1'
_space_group_IT_number 10
loop_
_space_group_symop_operation_xyz
'x,y,z'
'-x,-y,-z'
'-x,y,-z'
'x,-y,z'
loop_
_atom_site_label
_atom_site_fract_x
_atom_site_fract_y
_atom_site_fract_z
K1 0.0000 0.0000 0.0000
Zr1 0.2749 0.5000 0.7070
Hg1 0.5000 0.0000 0.5000


Entry 9:
# Be4VPd, optimized geometry, DFT PBE
# crystal system: cubic
# total moment: 2.77 μB/f.u.
# V: 10.11 Å³ per atom
# DOS at the Fermi energy: 0.62 states/eV per atom
# uncorrected energy: -5.12 eV per atom
# calculated density: 5.296 g cm⁻³
data_Be4VPd
_chemical_formula_sum 'Be16 V4 Pd4'
_cell_length_a 6.2365
_cell_length_b 6.2365
_cell_length_c 6.2365
_cell_angle_alpha 90.00
_cell_angle_beta 90.00
_cell_angle_gamma 90.00
_space_group_name_H-M_alt 'F -4 3 m'
_space_group_IT_number 216
_space_group_name_Hall 'F -4 2 3'
loop_
_atom_site_label
_atom_site_fract_x
_atom_site_fract_y
_atom_site_fract_z
Be1 0.1254 0.1254 0.1254
V1 0.0000 0.0000 0.5000
Pd1 0.2500 0.2500 0.7500


Entry 10:
# AcEuSn, optimized geometry, DFT PBE
# crystal system: trigonal
# total moment: 7.54 μB/f.u.
# V: 35.72 Å³ per atom
# relative energy among the computed polymorphs: 79 meV per atom
# DOS at the Fermi energy: 0.72 states/eV per atom
# uncorrected energy: -6.52 eV per atom
# calculated density: 7.713 g cm⁻³
data_AcEuSn
_chemical_formula_sum 'Ac1 Eu1 Sn1'
_cell_length_a 5.4193
_cell_length_b 5.4193
_cell_length_c 4.2128
_cell_angle_alpha 90.00
_cell_angle_beta 90.00
_cell_angle_gamma 120.00
_space_group_name_H-M_alt 'P 3 m 1'
_space_group_IT_number 156
loop_
_space_group_symop_operation_xyz
'x,y,z'
'-y,x-y,z'
'-x+y,-x,z'
'-y,-x,z'
'-x+y,y,z'
'x,x-y,z'
loop_
_atom_site_label
_atom_site_fract_x
_atom_site_fract_y
_atom_site_fract_z
Ac1 0.0000 0.0000 0.0000
Eu1 0.6667 0.3333 0.4480
Sn1 0.3333 0.6667 0.6303


Entry 11:
# CdHgTe2, optimized geometry, DFT PBE
# crystal system: monoclinic
# total moment: 0.00 μB/f.u.
# V: 28.36 Å³ per atom
# ΔE_f (raw): -0.07 eV per atom
# relative energy among the computed polymorphs: 240 meV per atom
# DOS at the Fermi energy: 0.37 states/eV per atom
# uncorrected energy: -1.95 eV per atom
# calculated density: 8.318 g cm⁻³
data_CdHgTe2
_chemical_formula_sum 'Cd4 Hg4 Te8'
_cell_length_a 6.4857
_cell_length_b 11.4708
_cell_length_c 6.9042
_cell_angle_alpha 90.00
_cell_angle_beta 117.96
_cell_angle_gamma 90.00
_space_group_name_H-M_alt 'C 1 2/c 1'
_space_group_IT_number 15
loop_
_space_group_symop_operation_xyz
'x,y,z'
'-x,-y,-z'
'-x,y,-z+1/2'
'x,-y,z+1/2'
'x+1/2,y+1/2,z'
'-x+1/2,-y+1/2,-z'
'-x+1/2,y+1/2,-z+1/2'
'x+1/2,-y+1/2,z+1/2'
loop_
_atom_site_label
_atom_site_fract_x
_atom_site_fract_y
_atom_site_fract_z
Cd1 0.0000 0.1261 0.2500
Hg1 0.0000 0.3751 0.7500
Te1 0.2420 0.1248 0.7345


Entry 12:
# HoUTc, optimized geometry, DFT PBE
# crystal system: tetragonal
# total moment: 0.00 μB/f.u.
# V: 23.93 Å³ per atom
# relative energy among the computed polymorphs: 225 meV per atom
# DOS at the Fermi energy: 1.34 states/eV per atom
# uncorrected energy: -8.52 eV per atom
# calculated density: 11.588 g cm⁻³
data_HoUTc
_chemical_formula_sum 'Ho4 U4 Tc4'
_cell_length_a 3.4673
_cell_length_b 3.4673
_cell_length_c 23.8843
_cell_angle_alpha 90.00
_cell_angle_beta 90.00
_cell_angle_gamma 90.00
_space_group_name_H-M_alt 'I 4/m m m'
_space_group_IT_number 139
_space_group_name_Hall '-I 4 2'
loop_
_atom_site_label
_atom_site_fract_x
_atom_site_fract_y
_atom_site_fract_z
Ho1 0.0000 0.0000 0.0753
U1 0.0000 0.0000 0.3365
Tc1 0.0000 0.0000 0.2060


Entry 13:
# Tl2As2I, optimized geometry, DFT PBE
# crystal system: tetragonal
# total moment: 0.00 μB/f.u.
# V: 31.11 Å³ per atom
# ΔE_f (raw): -0.03 eV per atom
# relative energy among the computed polymorphs: 89 meV per atom
# DOS at the Fermi energy: 0.58 states/eV per atom
# uncorrected energy: -3.15 eV per atom
# calculated density: 7.317 g cm⁻³
data_Tl2As2I
_chemical_formula_sum 'Tl4 As4 I2'
_cell_length_a 5.7144
_cell_length_b 5.7144
_cell_length_c 9.5280
_cell_angle_alpha 90.00
_cell_angle_beta 90.00
_cell_angle_gamma 90.00
_space_group_name_H-M_alt 'I 4/m m m'
_space_group_IT_number 139
_space_group_name_Hall '-I 4 2'
loop_
_atom_site_label
_atom_site_fract_x
_atom_site_fract_y
_atom_site_fract_z
Tl1 0.0000 0.5000 0.2500
As1 0.0000 0.0000 0.1208
I1 0.0000 0.0000 0.5000